(1)
Compound: ZnAgIr2
Source: the Alexandria database
Functional: PBEsol
Structure: optimized geometry

Computed properties:
E_form	0.03	eV per atom
volume	58.1	Å³ per cell
space-group type	P4mm, No. 99
D(E_F)	0.61	states/eV/atom

a = 2.7365 Å, b = 2.7365 Å, c = 7.7538 Å
α = 90.00°, β = 90.00°, γ = 90.00°
With the nearest neighbours (Å) after each atom.
Element x y z (fractional)
Zn1 0.0000 0.0000 0.0000  4 Ir 2.68, 4 Zn 2.74, 4 Ag 2.77
Ag1 0.5000 0.5000 0.2556  4 Ag 2.74, 4 Zn 2.77, 4 Ir 2.87
Ir1 0.0000 0.0000 0.5297  8 Ir 2.63-2.74, 4 Ag 2.87
Ir2 0.5000 0.5000 0.7602  8 Ir 2.63-2.74, 4 Zn 2.68



(2)
Compound: CrTeW3
Source: the Alexandria database
Functional: PBEsol
Structure: optimized geometry

Computed properties:
volume	111.5	Å³ per cell
space-group type	Pm-3m, No. 221
formation energy without anion corrections	2.7993	eV/atom
D(E_F)	1.37	states/eV/atom

a = 4.8127 Å, b = 4.8127 Å, c = 4.8127 Å
α = 90.00°, β = 90.00°, γ = 90.00°
With the nearest neighbours (Å) after each atom.
Element x y z (fractional)
Cr1 0.0000 0.0000 0.0000  12 W 3.40
Te1 0.5000 0.5000 0.5000  6 W 2.41
W1 0.0000 0.5000 0.5000  2 Te 2.41
W2 0.5000 0.0000 0.5000  2 Te 2.41
W3 0.5000 0.5000 0.0000  2 Te 2.41



(3)
Compound: Tc2SbAs
Source: the Alexandria database
Functional: PBEsol
Structure: optimized geometry

Computed properties:
volume	61.5	Å³ per cell
energy above the most stable polymorph in this dataset	20.1	meV per atom
space-group type	P4/mmm, No. 123
formation energy without anion corrections	0.0093	eV/atom
D(E_F)	0.75	states/eV/atom

a = 3.1209 Å, b = 3.1209 Å, c = 6.3131 Å
α = 90.00°, β = 90.00°, γ = 90.00°
With the nearest neighbours (Å) after each atom.
Element x y z (fractional)
Tc1 0.0000 0.0000 0.2335  4 As 2.65, 4 Sb 2.78, 1 Tc 2.95
Tc2 0.0000 0.0000 0.7665  4 As 2.65, 4 Sb 2.78, 1 Tc 2.95
Sb1 0.5000 0.5000 0.5000  8 Tc 2.78
As1 0.5000 0.5000 0.0000  8 Tc 2.65



(4)
Compound: BaHg2Se
Source: the Alexandria database
Functional: PBEsol
Structure: optimized geometry

Computed properties:
volume	117.0	Å³ per cell
space-group type	R3m, No. 160
formation energy without anion corrections	-0.8127	eV/atom

a = 6.0127 Å, b = 6.0127 Å, c = 6.0127 Å
α = 49.89°, β = 49.89°, γ = 49.89°
With the nearest neighbours (Å) after each atom.
Element x y z (fractional)
Ba1 0.0000 0.0000 0.0000  3 Se 3.30, 4 Hg 3.37-3.58
Hg1 0.4837 0.4837 0.4837  3 Hg 3.01, 3 Se 3.23
Hg2 0.7725 0.7725 0.7725  3 Hg 3.01, 3 Ba 3.37
Se1 0.2368 0.2368 0.2368  6 Hg 3.23-3.58, 3 Ba 3.30



(5)
Compound: K2Na3TlO4
Source: the Alexandria database
Functional: PBEsol
Structure: optimized geometry

Computed properties:
volume	677.2	Å³ per cell
space-group type	Pnnm, No. 58
formation energy without anion corrections	-1.1851	eV/atom

a = 9.2146 Å, b = 9.5445 Å, c = 7.7003 Å
α = 90.00°, β = 90.00°, γ = 90.00°
With the nearest neighbours (Å) after each atom.
Element x y z (fractional)
K1 0.0000 0.0000 0.2477  6 O 2.78-2.93
K2 0.0000 0.0000 0.7523  6 O 2.78-2.93
K3 0.2360 0.2497 0.5000  4 O 2.74-2.99
K4 0.2640 0.7497 0.0000  4 O 2.74-2.99
K5 0.5000 0.5000 0.2523  6 O 2.78-2.93
K6 0.5000 0.5000 0.7477  6 O 2.78-2.93
K7 0.7360 0.2503 0.0000  4 O 2.74-2.99
K8 0.7640 0.7503 0.5000  4 O 2.74-2.99
Na1 0.0172 0.6517 0.2498  4 O 2.31-2.38
Na2 0.0172 0.6517 0.7502  4 O 2.31-2.38
Na3 0.2411 0.5838 0.5000  3 O 2.22-2.36
Na4 0.2589 0.0838 0.0000  3 O 2.22-2.36
Na5 0.4828 0.1517 0.2502  4 O 2.31-2.38
Na6 0.4828 0.1517 0.7498  4 O 2.31-2.38
Na7 0.5172 0.8483 0.2502  4 O 2.31-2.38
Na8 0.5172 0.8483 0.7498  4 O 2.31-2.38
Na9 0.7411 0.9162 0.0000  3 O 2.22-2.36
Na10 0.7589 0.4162 0.5000  3 O 2.22-2.36
Na11 0.9828 0.3483 0.2498  4 O 2.31-2.38
Na12 0.9828 0.3483 0.7502  4 O 2.31-2.38
Tl1 0.2270 0.3793 0.0000  4 O 2.15-2.24
Tl2 0.2730 0.8793 0.5000  4 O 2.15-2.24
Tl3 0.7270 0.1207 0.5000  4 O 2.15-2.24
Tl4 0.7730 0.6207 0.0000  4 O 2.15-2.24
O1 0.0471 0.2219 0.0000  1 Tl 2.24, 3 Na 2.35-2.36
O2 0.0596 0.7780 0.5000  1 Tl 2.19, 2 Na 2.31
O3 0.1993 0.4834 0.2454  1 Tl 2.15, 3 Na 2.22-2.38
O4 0.1993 0.4834 0.7546  1 Tl 2.15, 3 Na 2.22-2.38
O5 0.3007 0.9834 0.2546  1 Tl 2.15, 3 Na 2.22-2.38
O6 0.3007 0.9834 0.7454  1 Tl 2.15, 3 Na 2.22-2.38
O7 0.4404 0.2780 0.0000  1 Tl 2.19, 2 Na 2.31
O8 0.4529 0.7219 0.5000  1 Tl 2.24, 3 Na 2.35-2.36
O9 0.5471 0.2781 0.5000  1 Tl 2.24, 3 Na 2.35-2.36
O10 0.5596 0.7220 0.0000  1 Tl 2.19, 2 Na 2.31
O11 0.6993 0.0166 0.2546  1 Tl 2.15, 3 Na 2.22-2.38
O12 0.6993 0.0166 0.7454  1 Tl 2.15, 3 Na 2.22-2.38
O13 0.8007 0.5166 0.2454  1 Tl 2.15, 3 Na 2.22-2.38
O14 0.8007 0.5166 0.7546  1 Tl 2.15, 3 Na 2.22-2.38
O15 0.9404 0.2220 0.5000  1 Tl 2.19, 2 Na 2.31
O16 0.9529 0.7781 0.0000  1 Tl 2.24, 3 Na 2.35-2.36



(6)
Compound: BaCaP2O7
Source: the Alexandria database
Functional: PBEsol
Structure: optimized geometry

Computed properties:
volume	1213.4	Å³ per cell
space-group type	P2_1/c, No. 14
formation energy without anion corrections	-2.7976	eV/atom
D(E_F)	0.00	states/eV/atom

a = 12.0663 Å, b = 10.5929 Å, c = 9.5268 Å
α = 90.00°, β = 94.78°, γ = 90.00°
With the nearest neighbours (Å) after each atom.
Element x y z (fractional)
Ba1 0.0846 0.0128 0.2231  6 O 2.69-3.00
Ba2 0.0846 0.4872 0.7231  6 O 2.69-3.00
Ba3 0.3432 0.1926 0.9080  7 O 2.71-3.01
Ba4 0.3432 0.3074 0.4080  7 O 2.71-3.01
Ba5 0.6567 0.6926 0.5920  7 O 2.71-3.01
Ba6 0.6567 0.8074 0.0920  7 O 2.71-3.01
Ba7 0.9154 0.5128 0.2769  6 O 2.69-3.00
Ba8 0.9154 0.9872 0.7769  6 O 2.69-3.00
Ca1 0.2181 0.6536 0.3288  6 O 2.29-2.52
Ca2 0.2181 0.8464 0.8288  6 O 2.29-2.52
Ca3 0.3484 0.5765 0.9897  6 O 2.27-2.39
Ca4 0.3484 0.9235 0.4897  6 O 2.27-2.39
Ca5 0.6516 0.0765 0.5103  6 O 2.27-2.39
Ca6 0.6516 0.4235 0.0103  6 O 2.27-2.39
Ca7 0.7819 0.1536 0.1712  6 O 2.29-2.52
Ca8 0.7819 0.3464 0.6712  6 O 2.29-2.52
P1 0.0614 0.7274 0.0288  4 O 1.53-1.62
P2 0.0614 0.7726 0.5288  4 O 1.53-1.62
P3 0.1590 0.1384 0.6146  4 O 1.52-1.63
P4 0.1590 0.3616 0.1146  4 O 1.52-1.63
P5 0.3436 0.6051 0.6164  4 O 1.51-1.63
P6 0.3436 0.8949 0.1164  4 O 1.51-1.63
P7 0.4976 0.0933 0.2445  4 O 1.51-1.63
P8 0.4976 0.4067 0.7445  4 O 1.51-1.63
P9 0.5024 0.5933 0.2555  4 O 1.51-1.63
P10 0.5024 0.9067 0.7555  4 O 1.51-1.63
P11 0.6564 0.1051 0.8836  4 O 1.51-1.63
P12 0.6564 0.3949 0.3836  4 O 1.51-1.63
P13 0.8410 0.6384 0.8854  4 O 1.52-1.63
P14 0.8410 0.8616 0.3854  4 O 1.52-1.63
P15 0.9386 0.2274 0.4712  4 O 1.53-1.62
P16 0.9386 0.2726 0.9712  4 O 1.53-1.62
O1 0.0290 0.1338 0.5528  2 P 1.62-1.63
O2 0.0290 0.3662 0.0528  2 P 1.62-1.63
O3 0.0409 0.6367 0.4795  1 P 1.53
O4 0.0409 0.8633 0.9795  1 P 1.53
O5 0.0523 0.7123 0.1867  1 P 1.53
O6 0.0523 0.7877 0.6867  1 P 1.53
O7 0.1613 0.0450 0.7367  1 P 1.53
O8 0.1613 0.4550 0.2367  1 P 1.53
O9 0.1701 0.6765 0.9796  1 P 1.53
O10 0.1701 0.8235 0.4796  1 P 1.53
O11 0.1909 0.2286 0.1630  1 P 1.52
O12 0.1909 0.2714 0.6630  1 P 1.52
O13 0.2245 0.0976 0.4900  1 P 1.54
O14 0.2245 0.4024 0.9900  1 P 1.54
O15 0.2640 0.5170 0.5295  1 P 1.53
O16 0.2640 0.9830 0.0295  1 P 1.53
O17 0.2958 0.6377 0.7562  1 P 1.53
O18 0.2958 0.8623 0.2562  1 P 1.53
O19 0.3760 0.5761 0.2416  1 P 1.53
O20 0.3760 0.9239 0.7416  1 P 1.53
O21 0.3795 0.7147 0.5295  1 P 1.51
O22 0.3795 0.7853 0.0295  1 P 1.51
O23 0.4482 0.2096 0.1719  1 P 1.51
O24 0.4482 0.2904 0.6719  1 P 1.51
O25 0.4540 0.0757 0.3903  1 P 1.54
O26 0.4540 0.4243 0.8903  1 P 1.54
O27 0.4609 0.5306 0.6500  2 P 1.63
O28 0.4609 0.9694 0.1500  2 P 1.63
O29 0.5391 0.0306 0.8500  2 P 1.63
O30 0.5391 0.4694 0.3500  2 P 1.63
O31 0.5460 0.5757 0.1097  1 P 1.54
O32 0.5460 0.9243 0.6097  1 P 1.54
O33 0.5518 0.7096 0.3281  1 P 1.51
O34 0.5518 0.7904 0.8281  1 P 1.51
O35 0.6205 0.2147 0.9705  1 P 1.51
O36 0.6205 0.2853 0.4705  1 P 1.51
O37 0.6240 0.0761 0.2584  1 P 1.53
O38 0.6240 0.4239 0.7584  1 P 1.53
O39 0.7042 0.1377 0.7438  1 P 1.53
O40 0.7042 0.3623 0.2438  1 P 1.53
O41 0.7360 0.0170 0.9705  1 P 1.53
O42 0.7360 0.4830 0.4705  1 P 1.53
O43 0.7755 0.5976 0.0100  1 P 1.54
O44 0.7755 0.9024 0.5100  1 P 1.54
O45 0.8091 0.7286 0.3370  1 P 1.52
O46 0.8091 0.7714 0.8370  1 P 1.52
O47 0.8299 0.1765 0.5204  1 P 1.53
O48 0.8299 0.3235 0.0204  1 P 1.53
O49 0.8387 0.5450 0.7633  1 P 1.53
O50 0.8387 0.9550 0.2633  1 P 1.53
O51 0.9477 0.2123 0.3133  1 P 1.53
O52 0.9477 0.2877 0.8133  1 P 1.53
O53 0.9591 0.1367 0.0205  1 P 1.53
O54 0.9591 0.3633 0.5205  1 P 1.53
O55 0.9710 0.6338 0.9472  2 P 1.62-1.63
O56 0.9710 0.8662 0.4472  2 P 1.62-1.63